# 1
First-principles (PBEsol) data for a relaxed structure of La2TcIr, as listed in Alexandria.

```
La2TcIr
1.0
3.381 0.000 0.000
0.000 3.381 0.000
0.000 0.000 8.450
Ir La Tc
1 2 1
direct
0.500 0.500 0.685
0.000 0.000 0.922
0.500 0.500 0.320
0.000 0.000 0.573
```

distance to the lowest polymorph of the same formula = 129 meV per atom
ΔE_f = 0.1264 eV/atom
magnetization = 0.00 Bohr magnetons per cell
symmetry = P4mm (99)

# 2
First-principles (PBEsol) data for a relaxed structure of LaTcIr, as listed in Alexandria.

```
LaTcIr
1.0
-4.068 -1.493 -1.037
-0.580 -2.577 -3.588
-0.981 -4.318 0.494
Ir La Tc
1 1 1
direct
0.500 0.500 0.500
0.250 0.250 0.250
0.000 0.000 0.000
```

distance to the lowest polymorph of the same formula = 1060 meV per atom
ΔE_f = 1.1194 eV/atom
magnetization = 1.58 Bohr magnetons per cell
symmetry = F-43m (216)